DFT (GGA-PBE) results for a relaxed structure of Sm5Ho6Tm.

Properties
Energy relative to the elements (eV per atom): 0.020
Fermi-level density of states (states/eV per cell): 16.4
Symmetry: Immm

Structure (POSCAR):
```
Sm5Ho6Tm
1.0
-2.520 5.029 7.570
2.520 -5.029 7.570
2.520 5.029 -7.570
Sm Ho Tm
5 6 1
direct
0.000 0.000 0.000
0.167 0.667 0.500
0.334 0.334 0.000
0.666 0.666 0.000
0.833 0.333 0.500
0.085 0.834 0.251
0.252 0.500 0.752
0.417 0.166 0.251
0.583 0.834 0.749
0.748 0.500 0.248
0.915 0.166 0.749
0.500 0.000 0.500
```



DFT (GGA-PBE) results for a relaxed structure of Rb3Cu2SnI8.

Properties
Total DFT energy (no corrections) (eV per atom): -2.7264
Fermi-level density of states (states/eV per cell): 5.1
Symmetry: P-3m1

Structure (POSCAR):
```
Rb3Cu2SnI8
1.0
8.416 0.000 0.000
-4.208 7.288 0.000
0.000 0.000 10.263
Rb Cu Sn I
3 2 1 8
direct
0.000 0.000 0.000
0.333 0.667 0.616
0.667 0.333 0.384
0.333 0.667 0.205
0.667 0.333 0.795
0.000 0.000 0.500
0.169 0.337 0.317
0.169 0.831 0.317
0.333 0.667 0.963
0.337 0.169 0.683
0.663 0.831 0.317
0.667 0.333 0.037
0.831 0.169 0.683
0.831 0.663 0.683
```



DFT (GGA-PBE) results for a relaxed structure of KRb2Li.

Properties
Energy relative to the elements (eV per atom): 0.168
Fermi-level density of states (states/eV per cell): 10.8
Symmetry: I-42d

Structure (POSCAR):
```
KRb2Li
1.0
11.438 0.000 0.000
0.000 11.438 0.000
0.000 0.000 8.462
K Rb Li
4 8 4
direct
0.000 0.000 0.000
0.000 0.500 0.250
0.500 0.000 0.750
0.500 0.500 0.500
0.203 0.250 0.625
0.250 0.703 0.875
0.250 0.797 0.375
0.297 0.250 0.125
0.703 0.750 0.125
0.750 0.203 0.375
0.750 0.297 0.875
0.797 0.750 0.625
0.000 0.000 0.500
0.000 0.500 0.750
0.500 0.000 0.250
0.500 0.500 0.000
```



DFT (GGA-PBE) results for a relaxed structure of KBe2CrIn.

Properties
Energy relative to the elements (eV per atom): 1.244
Fermi-level density of states (states/eV per cell): 3.7
Symmetry: P4/mmm

Structure (POSCAR):
```
KBe2CrIn
1.0
4.740 0.000 0.000
0.000 4.740 0.000
0.000 0.000 5.615
K Be Cr In
1 2 1 1
direct
0.000 0.000 0.000
0.000 0.500 0.500
0.500 0.000 0.500
0.000 0.000 0.500
0.500 0.500 0.000
```